# 1
Density functional theory data (GGA-PBE) for a relaxed structure of Tb5PuSb6.

Cell and atoms, written as POSCAR:
```
Tb5PuSb6
1.0
3.8182 -6.6096 0.0000
3.8182 6.6096 0.0000
-2.5450 0.0000 7.1970
Tb Pu Sb
5 1 6
Cartesian
0.0000 0.0000 0.0000
2.5457 4.4061 3.5985
3.8182 2.2014 0.0000
3.8182 -2.2014 0.0000
2.5457 -4.4061 3.5985
2.5457 0.0000 3.5985
1.2732 2.2024 1.7954
0.0004 0.0000 5.3946
1.2732 -2.2024 1.7954
3.8182 2.2024 5.4016
5.0910 0.0000 1.8024
3.8182 -2.2024 5.4016
```

## Properties
formation energy from raw total energies = -1.05 eV/atom
space-group type = C2/m (12)

# 2
Density functional theory data (GGA-PBE) for a relaxed structure of Tb5Pu3Sb12.

Cell and atoms, written as POSCAR:
```
Tb5Pu3Sb12
1.0
-8.9527 8.9527 8.9527
8.9527 -8.9527 8.9527
8.9527 8.9527 -8.9527
Tb Pu Sb
20 12 48
Cartesian
0.0000 0.0000 0.0000
4.4763 4.4763 -4.4763
4.4763 -4.4763 4.4763
8.9527 0.0000 0.0000
13.4290 2.2382 0.0000
8.9527 -4.4763 6.7145
6.7145 8.9527 -4.4763
6.7145 0.0000 4.4763
4.4763 6.7145 0.0000
8.9527 4.4763 2.2382
-4.4763 4.4763 4.4763
0.0000 8.9527 0.0000
0.0000 0.0000 8.9527
4.4763 4.4763 4.4763
0.0000 4.4763 6.7145
4.4763 2.2382 8.9527
2.2382 8.9527 4.4763
2.2382 0.0000 13.4290
0.0000 13.4290 2.2382
-4.4763 6.7145 8.9527
4.4763 2.2382 0.0000
8.9527 4.4763 -2.2382
2.2382 0.0000 4.4763
11.1908 0.0000 4.4763
0.0000 4.4763 2.2382
4.4763 -2.2382 8.9527
4.4763 11.1908 0.0000
8.9527 4.4763 6.7145
-2.2382 8.9527 4.4763
6.7145 8.9527 4.4763
0.0000 4.4763 11.1908
4.4763 6.7145 8.9527
2.8377 -0.2147 1.4526
10.5913 5.9289 -4.6911
8.7379 -1.4526 2.8377
13.6437 -1.6386 3.0238
11.7904 0.2147 1.4526
10.5913 -3.0238 4.6911
1.4526 2.8377 -0.2147
11.9764 4.2616 -1.6386
5.9289 4.6911 -1.6386
7.5001 2.8377 0.2147
-0.2147 1.4526 2.8377
4.6911 -1.6386 5.9289
8.7379 7.5001 -2.8377
4.6911 1.6386 3.0238
7.5001 -2.8377 8.7379
5.9289 -4.6911 10.5913
3.0238 4.6911 1.6386
10.4052 6.1149 0.2147
2.8377 8.7379 -1.4526
10.5913 3.0238 4.2616
4.6911 10.5913 -3.0238
8.7379 1.4526 6.1149
1.6386 3.0238 4.6911
2.8377 0.2147 7.5001
6.1149 8.7379 1.4526
7.3141 5.9289 4.2616
0.2147 7.5001 2.8377
4.2616 -1.6386 11.9764
-1.6386 5.9289 4.6911
6.1149 0.2147 10.4052
-1.4526 2.8377 8.7379
5.9289 4.2616 7.3141
3.0238 13.6437 -1.6386
1.4526 11.7904 0.2147
4.2616 7.3141 5.9289
0.2147 1.4526 11.7904
4.2616 10.5913 3.0238
9.1674 7.5001 6.1149
1.4526 6.1149 8.7379
3.0238 4.2616 10.5913
-3.0238 4.6911 10.5913
7.5001 6.1149 9.1674
-1.6386 11.9764 4.2616
-2.8377 8.7379 7.5001
-4.6911 10.5913 5.9289
0.2147 10.4052 6.1149
-1.6386 3.0238 13.6437
6.1149 9.1674 7.5001
```

## Properties
formation energy from raw total energies = -0.26 eV/atom
space-group type = Ia-3d (230)

# 3
Density functional theory data (GGA-PBE) for a relaxed structure of TbPuSb2.

Cell and atoms, written as POSCAR:
```
TbPuSb2
1.0
2.2098 1.2759 7.1849
-2.2098 1.2759 7.1849
0.0000 -2.5517 7.1849
Tb Pu Sb
1 1 2
Cartesian
0.0000 0.0000 0.0000
0.0000 0.0000 10.7774
0.0000 0.0000 5.3844
0.0000 0.0000 16.1704
```

## Properties
formation energy from raw total energies = -0.87 eV/atom
space-group type = R-3m (166)